The following is a DFT calculation (PBE-GGA) of a relaxed Ac2AlCd crystal.

Cell lengths 3.866, 3.866, 35.308 Å; angles 90.00, 90.00, 120.00 degrees
Element x y z (fractional)
Ac: 0.000 0.000 0.100
Ac: 0.000 0.000 0.900
Ac: 0.333 0.667 0.567
Ac: 0.333 0.667 0.766
Ac: 0.667 0.333 0.234
Ac: 0.667 0.333 0.433
Al: 0.000 0.000 0.500
Al: 0.333 0.667 0.167
Al: 0.667 0.333 0.833
Cd: 0.000 0.000 0.000
Cd: 0.333 0.667 0.667
Cd: 0.667 0.333 0.333

Computed properties:
formation enthalpy at 0 K	0.155	eV per atom
symmetry	R-3m, No. 166
calculated density	6.47	g/cm3
calculated volume	457	Å³/cell

=====

The following is a DFT calculation (PBE-GGA) of a relaxed Li2H2Pd crystal.

Cell lengths 4.889, 4.889, 7.737 Å; angles 90.00, 90.00, 147.27 degrees
Element x y z (fractional)
Li: 0.106 0.894 0.500
Li: 0.362 0.638 0.674
Li: 0.638 0.362 0.174
Li: 0.894 0.106 0.000
H: 0.009 0.991 0.768
H: 0.242 0.758 0.895
H: 0.758 0.242 0.395
H: 0.991 0.009 0.268
Pd: 0.373 0.627 0.326
Pd: 0.627 0.373 0.826

Computed properties:
symmetry	Cmc2_1, No. 36
calculated density	4.06	g/cm3
calculated volume	100	Å³/cell
total energy	-34.91	eV per cell

=====

The following is a DFT calculation (PBE-GGA) of a relaxed BeTlNi2 crystal.

Cell lengths 3.608, 3.608, 14.995 Å; angles 90.00, 90.00, 120.00 degrees
Element x y z (fractional)
Be: 0.000 0.000 0.000
Be: 0.333 0.667 0.667
Be: 0.667 0.333 0.333
Tl: 0.000 0.000 0.824
Tl: 0.333 0.667 0.491
Tl: 0.667 0.333 0.158
Ni: 0.000 0.000 0.375
Ni: 0.000 0.000 0.615
Ni: 0.333 0.667 0.041
Ni: 0.333 0.667 0.281
Ni: 0.667 0.333 0.708
Ni: 0.667 0.333 0.948

Computed properties:
formation enthalpy at 0 K	0.095	eV per atom
energy relative to the lowest polymorph listed for this composition	0	meV per atom
symmetry	R3m, No. 160
calculated density	9.75	g/cm3
calculated volume	169	Å³/cell

=====

The following is a DFT calculation (PBE-GGA) of a relaxed PmY3Co crystal.

Cell lengths 5.319, 5.319, 5.319 Å; angles 90.00, 90.00, 90.00 degrees
Element x y z (fractional)
Pm: 0.000 0.000 0.000
Y: 0.000 0.500 0.500
Y: 0.500 0.000 0.500
Y: 0.500 0.500 0.000
Co: 0.500 0.500 0.500

Computed properties:
formation enthalpy at 0 K	-0.020	eV per atom
energy relative to the lowest polymorph listed for this composition	18	meV per atom
symmetry	Pm-3m, No. 221
calculated density	5.19	g/cm3
calculated volume	151	Å³/cell

=====

The following is a DFT calculation (PBE-GGA) of a relaxed In2BiCl2 crystal.

Cell lengths 8.958, 8.958, 3.473 Å; angles 90.00, 90.00, 90.00 degrees
Element x y z (fractional)
In: 0.172 0.328 0.000
In: 0.328 0.828 0.000
In: 0.672 0.172 0.000
In: 0.828 0.672 0.000
Bi: 0.000 0.000 0.500
Bi: 0.500 0.500 0.500
Cl: 0.130 0.630 0.500
Cl: 0.370 0.130 0.500
Cl: 0.630 0.870 0.500
Cl: 0.870 0.370 0.500

Computed properties:
symmetry	P4/mbm, No. 127
calculated density	6.07	g/cm3
energy relative to the elements, uncorrected	-0.33	eV per atom
calculated volume	279	Å³/cell

=====

The following is a DFT calculation (PBE-GGA) of a relaxed Al3ZnPt crystal.

Cell lengths 7.875, 5.038, 9.283 Å; angles 90.00, 117.97, 90.00 degrees
Element x y z (fractional)
Al: 0.004 0.075 0.350
Al: 0.004 0.425 0.850
Al: 0.343 0.165 0.936
Al: 0.343 0.335 0.436
Al: 0.408 0.587 0.166
Al: 0.408 0.913 0.666
Al: 0.592 0.087 0.334
Al: 0.592 0.413 0.834
Al: 0.657 0.665 0.564
Al: 0.657 0.835 0.064
Al: 0.996 0.575 0.150
Al: 0.996 0.925 0.650
Zn: 0.154 0.129 0.111
Zn: 0.154 0.371 0.611
Zn: 0.846 0.629 0.389
Zn: 0.846 0.871 0.889
Pt: 0.306 0.681 0.859
Pt: 0.306 0.819 0.359
Pt: 0.694 0.181 0.641
Pt: 0.694 0.319 0.141

Computed properties:
formation enthalpy at 0 K	-0.455	eV per atom
energy relative to the lowest polymorph listed for this composition	0	meV per atom
symmetry	P2_1/c, No. 14
calculated density	6.97	g/cm3
calculated volume	325	Å³/cell

=====

The following is a DFT calculation (PBE-GGA) of a relaxed NdZn3Pd9 crystal.

Cell lengths 6.960, 6.960, 6.723 Å; angles 97.45, 97.45, 136.04 degrees
Element x y z (fractional)
Nd: 0.000 0.000 0.000
Zn: 0.000 0.500 0.000
Zn: 0.500 0.000 0.000
Zn: 0.500 0.500 0.500
Pd: 0.000 0.000 0.500
Pd: 0.019 0.665 0.659
Pd: 0.286 0.510 0.782
Pd: 0.335 0.981 0.341
Pd: 0.490 0.714 0.218
Pd: 0.510 0.286 0.782
Pd: 0.665 0.019 0.659
Pd: 0.714 0.490 0.218
Pd: 0.981 0.335 0.341

Computed properties:
formation enthalpy at 0 K	-0.498	eV per atom
symmetry	C2/m, No. 12
calculated density	10.16	g/cm3
calculated volume	212	Å³/cell